Entry 1:
The following is a PBE-GGA calculation of crystalline CuPtCl2 at its relaxed geometry, from Alexandria.

```
CuPtCl2
1.0
5.256 -0.062 0.018
0.057 5.256 -0.018
-1.000 -4.292 2.866
Cu Pt Cl
1 1 2
direct
0.750 0.250 0.500
0.250 0.750 0.500
0.511 0.511 0.000
0.989 0.989 0.000
```

Summary:
**Formation energy from raw total energies**: 182 meV per atom
**Total magnetic moment**: 0.00 μB/f.u.
**Energy above the lowest structure with this stoichiometry**: 269 meV/atom
**Volume**: 79 Å³/cell


Entry 2:
The following is a PBE-GGA calculation of crystalline CuPtCl2 at its relaxed geometry, from Alexandria.

```
CuPtCl2
1.0
3.764 0.000 0.000
0.000 4.566 0.216
0.000 -0.485 4.578
Cl Cu Pt
2 1 1
direct
0.000 0.999 0.999
0.000 0.501 0.501
0.500 0.250 0.250
0.500 0.750 0.750
```

Summary:
**Formation energy from raw total energies**: 166 meV per atom
**Total magnetic moment**: 0.00 μB/f.u.
**Energy above the lowest structure with this stoichiometry**: 254 meV/atom
**Volume**: 79 Å³/cell


Entry 3:
The following is a PBE-GGA calculation of crystalline CuPt2Cl at its relaxed geometry, from Alexandria.

```
CuPt2Cl
1.0
4.724 0.071 -0.062
3.811 2.794 -0.062
0.855 0.287 6.342
Pt Cl Cu
2 1 1
direct
0.060 0.060 0.024
0.319 0.319 0.141
0.335 0.335 0.525
0.786 0.786 0.810
```

Summary:
**Formation energy from raw total energies**: 172 meV per atom
**Total magnetic moment**: 0.00 μB/f.u.
**Energy above the lowest structure with this stoichiometry**: 49 meV/atom
**Volume**: 82 Å³/cell


Entry 4:
The following is a PBE-GGA calculation of crystalline Cu5PtCl12 at its relaxed geometry, from Alexandria.

```
Cu5PtCl12
1.0
7.829 0.000 -0.774
3.914 4.990 -0.387
-1.337 0.000 12.448
Cl Cu Pt
12 5 1
direct
0.535 0.666 0.388
0.835 0.341 0.871
0.676 0.000 0.949
0.861 0.000 0.391
0.465 0.334 0.612
0.202 0.334 0.388
0.798 0.666 0.612
0.139 0.000 0.609
0.165 0.659 0.129
0.176 0.659 0.871
0.324 0.000 0.051
0.824 0.341 0.129
0.500 0.000 0.500
0.167 0.667 0.500
0.339 0.322 0.000
0.833 0.333 0.500
0.661 0.678 0.000
0.000 0.000 0.000
```

Summary:
**Formation energy from raw total energies**: -480 meV per atom
**Total magnetic moment**: 2.94 μB/f.u.
**Volume**: 481 Å³/cell


Entry 5:
The following is a PBE-GGA calculation of crystalline CuPt2Cl at its relaxed geometry, from Alexandria.

```
CuPt2Cl
1.0
0.000 3.135 3.135
3.135 0.000 3.135
3.135 3.135 0.000
Pt Cl Cu
2 1 1
direct
0.750 0.750 0.750
0.250 0.250 0.250
0.000 0.000 0.000
0.500 0.500 0.500
```

Summary:
**Formation energy from raw total energies**: 598 meV per atom
**Total magnetic moment**: 0.00 μB/f.u.
**Energy above the lowest structure with this stoichiometry**: 475 meV/atom
**Volume**: 62 Å³/cell


Entry 6:
The following is a PBE-GGA calculation of crystalline CuPtCl2 at its relaxed geometry, from Alexandria.

```
CuPtCl2
1.0
5.210 0.208 0.117
-0.378 5.200 0.117
1.384 1.549 2.897
Cl Cu Pt
2 1 1
direct
0.500 0.500 0.000
0.000 0.000 0.000
0.500 0.000 0.500
0.000 0.500 0.500
```

Summary:
**Formation energy from raw total energies**: 165 meV per atom
**Total magnetic moment**: 0.00 μB/f.u.
**Energy above the lowest structure with this stoichiometry**: 253 meV/atom
**Volume**: 77 Å³/cell


Entry 7:
The following is a PBE-GGA calculation of crystalline CuPtCl2 at its relaxed geometry, from Alexandria.

```
CuPtCl2
1.0
-0.642 -0.488 -3.412
0.774 -3.403 0.341
-6.787 -1.397 1.476
Pt Cl Cu
1 2 1
direct
0.500 0.500 0.669
0.500 0.500 0.345
0.000 0.000 0.904
0.000 0.000 0.582
```

Summary:
**Formation energy from raw total energies**: 125 meV per atom
**Total magnetic moment**: 0.00 μB/f.u.
**Energy above the lowest structure with this stoichiometry**: 213 meV/atom
**Volume**: 87 Å³/cell


Entry 8:
The following is a PBE-GGA calculation of crystalline Rb2CuPtCl6 at its relaxed geometry, from Alexandria.

```
Rb2CuPtCl6
1.0
-6.121 -2.196 2.765
-4.574 -3.630 -3.979
1.602 -12.124 2.946
Cl Cu Rb Pt
12 2 4 2
direct
0.140 0.618 0.625
0.794 0.292 0.120
0.206 0.708 0.880
0.382 0.382 0.375
0.292 0.794 0.120
0.794 0.794 0.120
0.708 0.206 0.880
0.860 0.382 0.375
0.206 0.206 0.880
0.618 0.140 0.625
0.618 0.618 0.625
0.382 0.860 0.375
0.412 0.412 0.765
0.588 0.588 0.235
0.705 0.705 0.886
0.295 0.295 0.114
0.122 0.122 0.634
0.878 0.878 0.366
0.000 0.000 0.000
0.500 0.500 0.500
```

Summary:
**Formation energy from raw total energies**: -1031 meV per atom
**Total magnetic moment**: 0.56 μB/f.u.
**Volume**: 515 Å³/cell